# 1
Density functional theory data (PBE-GGA) for a relaxed SrTeBr2 crystal.

Values from the calculation:
* SG: No. 47
* calculated volume: 122.37 Å³/f.u.
* calculated total energy: -3.1424 eV/atom
* formation energy (no corrections): -4.40 eV/f.u.
* excess energy over the best structure of this formula in the dataset: 162 meV/atom

```
4
Lattice="-2.599 -1.564 -2.870 3.145 -5.294 0.036 -2.822 -1.653 3.457" Properties=species:S:1:pos:R:3 pbc="T T T"
Sr -2.711 -1.608 0.294
Te 0.162 -3.473 1.747
Br 0.273 -3.429 -1.417
Br 0.000 0.000 0.000
```

=====

# 2
Density functional theory data (PBE-GGA) for a relaxed TiCdSbO6 crystal.

Values from the calculation:
* SG: No. 163
* calculated volume: 116.01 Å³/f.u.
* calculated total energy: -6.4158 eV/atom
* formation energy (no corrections): -15.06 eV/f.u.

```
18
Lattice="-0.126 2.673 4.594 2.202 -4.835 -0.203 8.390 3.908 -2.045" Properties=species:S:1:pos:R:3 pbc="T T T"
O 3.790 0.638 0.877
O 7.995 2.562 -0.165
O 1.123 1.505 1.407
O 6.165 0.726 -1.361
O 1.836 1.443 4.219
O 4.302 1.021 3.708
O 6.676 1.109 1.469
O 7.503 -1.348 0.165
O 2.964 3.095 2.181
O 8.630 0.303 -1.872
O 2.472 -0.815 2.511
O 9.344 0.242 0.940
Cd 0.000 0.000 0.000
Cd 4.195 1.954 -1.022
Ti 2.748 1.148 2.484
Ti 7.719 0.599 -0.137
Sb 3.524 -1.355 0.885
Sb 6.943 3.102 1.462
```

=====

# 3
Density functional theory data (PBE-GGA) for a relaxed Pm2PuSb3 crystal.

Values from the calculation:
* SG: No. 71
* calculated volume: 189.50 Å³/f.u.
* calculated total energy: -7.0157 eV/atom
* formation energy (no corrections): -5.89 eV/f.u.
* excess energy over the best structure of this formula in the dataset: 3 meV/atom

```
6
Lattice="-1.975 -3.877 -1.071 2.376 -2.652 5.217 -5.658 5.100 1.346" Properties=species:S:1:pos:R:3 pbc="T T T"
Sb -3.419 1.822 4.395
Sb -3.816 0.611 0.137
Sb -1.838 -3.251 1.096
Pu -2.628 -0.714 2.746
Pm -4.658 3.165 1.819
Pm -0.598 -4.594 3.672
```

=====

# 4
Density functional theory data (PBE-GGA) for a relaxed Pu5Rh crystal.

Values from the calculation:
* SG: No. 65
* calculated volume: 124.50 Å³/f.u.
* energy of formation from the pure elements: -0.020 eV per atom
* calculated total energy: -13.1881 eV/atom

```
6
Lattice="-1.538 2.846 0.331 -4.466 -2.508 0.813 3.610 1.154 6.845" Properties=species:S:1:pos:R:3 pbc="T T T"
Pu -2.058 0.100 5.546
Pu -3.002 0.169 0.572
Pu 0.909 -0.066 4.788
Pu -0.337 1.392 2.443
Pu -1.765 -1.288 2.871
Rh 0.000 0.000 0.000
```

=====

# 5
Density functional theory data (PBE-GGA) for a relaxed AgPd2Pt crystal.

Values from the calculation:
* SG: No. 166
* calculated volume: 63.76 Å³/f.u.
* energy of formation from the pure elements: -0.015 eV per atom
* calculated total energy: -4.8349 eV/atom
* excess energy over the best structure of this formula in the dataset: 25 meV/atom

```
4
Lattice="2.804 0.000 0.000 1.402 2.429 0.000 1.402 0.810 9.362" Properties=species:S:1:pos:R:3 pbc="T T T"
Pd 1.402 0.810 2.369
Pd 4.207 2.429 6.993
Ag 0.000 0.000 0.000
Pt 2.804 1.619 4.681
```

=====

# 6
Density functional theory data (PBE-GGA) for a relaxed Ce5Cd2In crystal.

Values from the calculation:
* SG: No. 55
* calculated volume: 211.41 Å³/f.u.
* energy of formation from the pure elements: -0.131 eV per atom
* calculated total energy: -4.4104 eV/atom
* excess energy over the best structure of this formula in the dataset: 0 meV/atom

```
16
Lattice="-1.082 3.044 3.102 -5.771 -3.363 1.287 6.537 -7.520 9.661" Properties=species:S:1:pos:R:3 pbc="T T T"
Cd -1.322 -0.275 3.042
Cd 1.006 -7.565 11.008
Cd -2.487 -3.935 6.227
Cd 2.171 -3.904 7.822
Ce 1.315 -2.287 2.703
Ce 3.737 -5.779 10.209
Ce -4.054 -2.060 3.841
Ce -0.645 -5.739 8.640
Ce -0.549 -8.596 8.244
Ce 0.000 0.000 0.000
Ce 0.383 -5.442 5.474
Ce 0.329 -2.101 5.409
Ce 2.592 -7.208 7.978
Ce -1.826 -3.675 2.970
In 3.268 -3.760 4.830
In -2.885 -1.682 0.643
```

=====

# 7
Density functional theory data (PBE-GGA) for a relaxed TaVBr3 crystal.

Values from the calculation:
* SG: No. 221
* calculated volume: 138.60 Å³/f.u.
* calculated total energy: -4.6048 eV/atom
* formation energy (no corrections): 2.97 eV/f.u.
* excess energy over the best structure of this formula in the dataset: 0 meV/atom

```
5
Lattice="-4.104 2.563 1.837 -1.857 -4.401 1.991 2.548 0.920 4.410" Properties=species:S:1:pos:R:3 pbc="T T T"
Br 1.274 0.460 2.205
Br -2.052 1.281 0.918
Br -0.929 -2.201 0.996
V -1.706 -0.459 4.119
Ta 0.000 0.000 0.000
```

=====

# 8
Density functional theory data (PBE-GGA) for a relaxed RbSb2Te4 crystal.

Values from the calculation:
* SG: No. 1
* calculated volume: 307.91 Å³/f.u.
* calculated total energy: -3.4048 eV/atom
* formation energy (no corrections): -2.05 eV/f.u.
* excess energy over the best structure of this formula in the dataset: 0 meV/atom

```
14
Lattice="8.770 0.148 -3.497 -3.604 6.986 -2.527 -0.907 -0.215 10.438" Properties=species:S:1:pos:R:3 pbc="T T T"
Te 4.949 4.590 -2.851
Te 3.198 0.388 1.338
Te 3.129 6.479 1.330
Te 0.336 5.128 5.901
Te 1.630 0.983 6.606
Te 5.243 4.354 1.022
Te 1.150 3.470 -0.616
Te 7.155 2.032 0.317
Sb 2.579 3.424 5.422
Sb 3.836 2.451 -0.653
Sb -1.010 1.987 6.629
Sb 2.109 6.048 -1.719
Rb -0.509 5.245 2.139
Rb 8.335 0.403 -2.927
```